{
  "formula": "MoWF2",
  "functional": "PBE+U",
  "state": "relaxed",
  "rho_g_cm3": 9.04,
  "e_tot_ev_per_cell": -18.99,
  "polymorph_energy_ev_per_atom": 0.000,
  "spacegroup": "R-3m, No. 166",
  "vol_a3_per_atom": 14.6,
  "cell": [[1.655, 0.000, 8.203], [-0.828, 1.433, 8.203], [-0.828, -1.433, 8.203]],
  "species": ["F", "F", "W", "Mo"],
  "frac_coords": [[0.915, 0.915, 0.915], [0.085, 0.085, 0.085], [0.000, 0.000, 0.000], [0.500, 0.500, 0.500]]
}